DFT (PBE-GGA) results for a relaxed structure of TbEr5N6.

Unit cell a=5.9571 b=5.9572 c=5.9584 alpha=60.01 beta=80.42 gamma=70.55
Last column: nearest neighbours and their distance in Å.
Atoms (fractional coordinates):
N 0.2514 0.5803 0.3359  5 Er 2.41-2.43, 1 Tb 2.45
Er 0.5000 0.8330 0.3340  6 N 2.41-2.44
Er 0.5000 0.1670 0.6660  6 N 2.41-2.44
Er 0.5000 0.5000 0.0000  6 N 2.41-2.43
N 0.2513 0.2522 0.0000  5 Er 2.41-2.44, 1 Tb 2.45
N 0.7486 0.0838 0.3359  5 Er 2.41-2.43, 1 Tb 2.45
Er 0.0000 0.6666 0.6668  6 N 2.43
N 0.7486 0.4197 0.6641  5 Er 2.41-2.43, 1 Tb 2.45
Tb 0.0000 0.0000 0.0000  6 N 2.45
N 0.2514 0.9162 0.6641  5 Er 2.41-2.43, 1 Tb 2.45
N 0.7487 0.7478 0.0000  5 Er 2.41-2.44, 1 Tb 2.45
Er 0.0000 0.3334 0.3332  6 N 2.43

## Properties
The crystal system is monoclinic. As for the formation energy (no corrections): -1.76 eV per atom.